1.
# TaSiSb2I | Alexandria | PBEsol | optimized geometry
data_TaSiSb2I
_chemical_formula_sum 'Ta1 Si1 Sb2 I1'
_space_group_name_H-M_alt 'P 4/m m m'
_space_group_IT_number 123
_space_group_name_Hall '-P 4 2'
_cell_length_a 5.3523
_cell_length_b 5.3523
_cell_length_c 5.2862
_cell_angle_alpha 90.00
_cell_angle_beta 90.00
_cell_angle_gamma 90.00
loop_
_atom_site_label
_atom_site_type_symbol
_atom_site_fract_x
_atom_site_fract_y
_atom_site_fract_z
Ta1 Ta 0.0000 0.0000 0.0000
Si1 Si 0.5000 0.5000 0.5000
Sb1 Sb 0.0000 0.5000 0.0000
I1 I 0.0000 0.0000 0.5000
# Theoretical density ... 6.354 Mg/m³
# Energy relative to the elements, uncorrected ... 4.5 eV per formula unit
# Uncorrected energy ... -4.9266 eV/atom
# Magnetic moment ... 0.83 μB/cell

---

2.
# CsLi2FeSe | Alexandria | PBEsol | optimized geometry
data_CsLi2FeSe
_chemical_formula_sum 'Cs1 Li2 Fe1 Se1'
_space_group_name_H-M_alt 'P 4/m m m'
_space_group_IT_number 123
_space_group_name_Hall '-P 4 2'
_cell_length_a 5.0392
_cell_length_b 5.0392
_cell_length_c 5.3407
_cell_angle_alpha 90.00
_cell_angle_beta 90.00
_cell_angle_gamma 90.00
loop_
_atom_site_label
_atom_site_type_symbol
_atom_site_fract_x
_atom_site_fract_y
_atom_site_fract_z
Cs1 Cs 0.0000 0.0000 0.0000
Li1 Li 0.0000 0.5000 0.5000
Fe1 Fe 0.0000 0.0000 0.5000
Se1 Se 0.5000 0.5000 0.0000
# Theoretical density ... 3.448 Mg/m³
# Energy relative to the elements, uncorrected ... 3.2 eV per formula unit
# Uncorrected energy ... -2.9016 eV/atom
# Magnetic moment ... 2.53 μB/cell

---

3.
# YScAu2 | Alexandria | PBEsol | optimized geometry
data_YScAu2
_chemical_formula_sum 'Y4 Sc4 Au8'
_space_group_name_H-M_alt 'F m -3 m'
_space_group_IT_number 225
_space_group_name_Hall '-F 4 2 3'
_cell_length_a 6.9101
_cell_length_b 6.9101
_cell_length_c 6.9101
_cell_angle_alpha 90.00
_cell_angle_beta 90.00
_cell_angle_gamma 90.00
loop_
_atom_site_label
_atom_site_type_symbol
_atom_site_fract_x
_atom_site_fract_y
_atom_site_fract_z
Y1 Y 0.0000 0.0000 0.0000
Sc1 Sc 0.0000 0.0000 0.5000
Au1 Au 0.2500 0.2500 0.2500
# ΔH_f (0 K) ... -0.82 eV per atom
# Theoretical density ... 10.625 Mg/m³
# Polymorph energy (0 for the lowest one) ... 5 kJ/mol of formula units
# Uncorrected energy ... -6.1416 eV/atom
# Magnetic moment ... 0.00 μB/cell